## A
Material: Ni3RhF
Method: DFT, PBE+U
State: relaxed

Cell and atoms, written as CIF:
```
data_Ni3RhF
_chemical_formula_sum 'Ni3 Rh1 F1'
_space_group_name_H-M_alt 'P m -3 m'
_space_group_IT_number 221
_space_group_name_Hall '-P 4 2 3'
_cell_length_a 4.664
_cell_length_b 4.664
_cell_length_c 4.664
_cell_angle_alpha 90.00
_cell_angle_beta 90.00
_cell_angle_gamma 90.00
loop_
_atom_site_label
_atom_site_type_symbol
_atom_site_fract_x
_atom_site_fract_y
_atom_site_fract_z
Ni1 Ni 0.000 0.000 0.500
Rh1 Rh 0.000 0.000 0.000
F1 F 0.500 0.500 0.500
```

## B
Material: Ni3RhF
Method: DFT, PBE+U
State: relaxed

Cell and atoms, written as CIF:
```
data_Ni3RhF
_chemical_formula_sum 'Ni3 Rh1 F1'
_space_group_name_H-M_alt 'P m -3 m'
_space_group_IT_number 221
_space_group_name_Hall '-P 4 2 3'
_cell_length_a 4.020
_cell_length_b 4.020
_cell_length_c 4.020
_cell_angle_alpha 90.00
_cell_angle_beta 90.00
_cell_angle_gamma 90.00
loop_
_atom_site_label
_atom_site_type_symbol
_atom_site_fract_x
_atom_site_fract_y
_atom_site_fract_z
Ni1 Ni 0.000 0.000 0.500
Rh1 Rh 0.500 0.500 0.500
F1 F 0.000 0.000 0.000
```

Stability ranking, top entry: B; the second entry is 913 meV per atom less favorable.

## A
Material: NiRh2F2
Method: DFT, PBE+U
State: relaxed

Cell and atoms, written as CIF:
```
data_NiRh2F2
_chemical_formula_sum 'Ni2 Rh4 F4'
_space_group_name_H-M_alt 'I 4/m m m'
_space_group_IT_number 139
_space_group_name_Hall '-I 4 2'
_cell_length_a 3.351
_cell_length_b 3.351
_cell_length_c 11.423
_cell_angle_alpha 90.00
_cell_angle_beta 90.00
_cell_angle_gamma 90.00
loop_
_atom_site_label
_atom_site_type_symbol
_atom_site_fract_x
_atom_site_fract_y
_atom_site_fract_z
Ni1 Ni 0.000 0.000 0.000
Rh1 Rh 0.000 0.000 0.389
F1 F 0.000 0.500 0.250
```

## B
Material: NiRh2F2
Method: DFT, PBE+U
State: relaxed

Cell and atoms, written as CIF:
```
data_NiRh2F2
_chemical_formula_sum 'Ni2 Rh4 F4'
_space_group_name_H-M_alt 'P 4/m b m'
_space_group_IT_number 127
_space_group_name_Hall '-P 4 2ab'
_cell_length_a 6.766
_cell_length_b 6.766
_cell_length_c 3.014
_cell_angle_alpha 90.00
_cell_angle_beta 90.00
_cell_angle_gamma 90.00
loop_
_atom_site_label
_atom_site_type_symbol
_atom_site_fract_x
_atom_site_fract_y
_atom_site_fract_z
Ni1 Ni 0.000 0.000 0.000
Rh1 Rh 0.123 0.377 0.000
F1 F 0.216 0.716 0.500
```

Stability ranking, top entry: A; the second entry is 220 meV per atom less favorable.

## A
Material: NiRh3F
Method: DFT, PBE+U
State: relaxed

Cell and atoms, written as CIF:
```
data_NiRh3F
_chemical_formula_sum 'Ni1 Rh3 F1'
_space_group_name_H-M_alt 'P m -3 m'
_space_group_IT_number 221
_space_group_name_Hall '-P 4 2 3'
_cell_length_a 4.206
_cell_length_b 4.206
_cell_length_c 4.206
_cell_angle_alpha 90.00
_cell_angle_beta 90.00
_cell_angle_gamma 90.00
loop_
_atom_site_label
_atom_site_type_symbol
_atom_site_fract_x
_atom_site_fract_y
_atom_site_fract_z
Ni1 Ni 0.000 0.000 0.000
Rh1 Rh 0.000 0.500 0.500
F1 F 0.500 0.500 0.500
```

## B
Material: NiRh3F
Method: DFT, PBE+U
State: relaxed

Cell and atoms, written as CIF:
```
data_NiRh3F
_chemical_formula_sum 'Ni1 Rh3 F1'
_space_group_name_H-M_alt 'P m -3 m'
_space_group_IT_number 221
_space_group_name_Hall '-P 4 2 3'
_cell_length_a 4.526
_cell_length_b 4.526
_cell_length_c 4.526
_cell_angle_alpha 90.00
_cell_angle_beta 90.00
_cell_angle_gamma 90.00
loop_
_atom_site_label
_atom_site_type_symbol
_atom_site_fract_x
_atom_site_fract_y
_atom_site_fract_z
Ni1 Ni 0.000 0.000 0.000
Rh1 Rh 0.000 0.000 0.500
F1 F 0.500 0.500 0.500
```

Stability ranking, top entry: A; the second entry is 331 meV per atom less favorable.

## A
Material: NiRhF3
Method: DFT, PBE+U
State: relaxed

Cell and atoms, written as CIF:
```
data_NiRhF3
_chemical_formula_sum 'Ni1 Rh1 F3'
_space_group_name_H-M_alt 'P m -3 m'
_space_group_IT_number 221
_space_group_name_Hall '-P 4 2 3'
_cell_length_a 4.005
_cell_length_b 4.005
_cell_length_c 4.005
_cell_angle_alpha 90.00
_cell_angle_beta 90.00
_cell_angle_gamma 90.00
loop_
_atom_site_label
_atom_site_type_symbol
_atom_site_fract_x
_atom_site_fract_y
_atom_site_fract_z
Ni1 Ni 0.000 0.000 0.000
Rh1 Rh 0.500 0.500 0.500
F1 F 0.000 0.000 0.500
```

## B
Material: NiRhF3
Method: DFT, PBE+U
State: relaxed

Cell and atoms, written as CIF:
```
data_NiRhF3
_chemical_formula_sum 'Ni1 Rh1 F3'
_space_group_name_H-M_alt 'P m -3 m'
_space_group_IT_number 221
_space_group_name_Hall '-P 4 2 3'
_cell_length_a 4.163
_cell_length_b 4.163
_cell_length_c 4.163
_cell_angle_alpha 90.00
_cell_angle_beta 90.00
_cell_angle_gamma 90.00
loop_
_atom_site_label
_atom_site_type_symbol
_atom_site_fract_x
_atom_site_fract_y
_atom_site_fract_z
Ni1 Ni 0.000 0.000 0.000
Rh1 Rh 0.500 0.500 0.500
F1 F 0.000 0.500 0.500
```

Stability ranking, top entry: A; the second entry is 655 meV per atom less favorable.

## A
Material: NiRh2F
Method: DFT, PBE+U
State: relaxed

Cell and atoms, written as CIF:
```
data_NiRh2F
_chemical_formula_sum 'Ni4 Rh8 F4'
_space_group_name_H-M_alt 'F m -3 m'
_space_group_IT_number 225
_space_group_name_Hall '-F 4 2 3'
_cell_length_a 5.906
_cell_length_b 5.906
_cell_length_c 5.906
_cell_angle_alpha 90.00
_cell_angle_beta 90.00
_cell_angle_gamma 90.00
loop_
_atom_site_label
_atom_site_type_symbol
_atom_site_fract_x
_atom_site_fract_y
_atom_site_fract_z
Ni1 Ni 0.000 0.000 0.000
Rh1 Rh 0.250 0.250 0.250
F1 F 0.000 0.000 0.500
```

## B
Material: NiRh2F
Method: DFT, PBE+U
State: relaxed

Cell and atoms, written as CIF:
```
data_NiRh2F
_chemical_formula_sum 'Ni4 Rh8 F4'
_space_group_name_H-M_alt 'I -4 2 d'
_space_group_IT_number 122
_space_group_name_Hall 'I -4 2bw'
_cell_length_a 6.550
_cell_length_b 6.550
_cell_length_c 5.250
_cell_angle_alpha 90.00
_cell_angle_beta 90.00
_cell_angle_gamma 90.00
loop_
_atom_site_label
_atom_site_type_symbol
_atom_site_fract_x
_atom_site_fract_y
_atom_site_fract_z
Ni1 Ni 0.000 0.000 0.000
Rh1 Rh 0.225 0.250 0.625
F1 F 0.000 0.000 0.500
```

Stability ranking, top entry: A; the second entry is 140 meV per atom less favorable.

## A
Material: NiRu2F
Method: DFT, PBE+U
State: relaxed

Cell and atoms, written as CIF:
```
data_NiRu2F
_chemical_formula_sum 'Ni4 Ru8 F4'
_space_group_name_H-M_alt 'I -4 2 d'
_space_group_IT_number 122
_space_group_name_Hall 'I -4 2bw'
_cell_length_a 6.526
_cell_length_b 6.526
_cell_length_c 4.839
_cell_angle_alpha 90.00
_cell_angle_beta 90.00
_cell_angle_gamma 90.00
loop_
_atom_site_label
_atom_site_type_symbol
_atom_site_fract_x
_atom_site_fract_y
_atom_site_fract_z
Ni1 Ni 0.000 0.000 0.000
Ru1 Ru 0.203 0.750 0.625
F1 F 0.000 0.000 0.500
```

## B
Material: NiRu2F
Method: DFT, PBE+U
State: relaxed

Cell and atoms, written as CIF:
```
data_NiRu2F
_chemical_formula_sum 'Ni4 Ru8 F4'
_space_group_name_H-M_alt 'F m -3 m'
_space_group_IT_number 225
_space_group_name_Hall '-F 4 2 3'
_cell_length_a 5.804
_cell_length_b 5.804
_cell_length_c 5.804
_cell_angle_alpha 90.00
_cell_angle_beta 90.00
_cell_angle_gamma 90.00
loop_
_atom_site_label
_atom_site_type_symbol
_atom_site_fract_x
_atom_site_fract_y
_atom_site_fract_z
Ni1 Ni 0.000 0.000 0.000
Ru1 Ru 0.250 0.250 0.250
F1 F 0.000 0.000 0.500
```

Stability ranking, top entry: B; the second entry is 132 meV per atom less favorable.

## A
Material: NiRuF3
Method: DFT, PBE+U
State: relaxed

Cell and atoms, written as CIF:
```
data_NiRuF3
_chemical_formula_sum 'Ni1 Ru1 F3'
_space_group_name_H-M_alt 'P m -3 m'
_space_group_IT_number 221
_space_group_name_Hall '-P 4 2 3'
_cell_length_a 4.147
_cell_length_b 4.147
_cell_length_c 4.147
_cell_angle_alpha 90.00
_cell_angle_beta 90.00
_cell_angle_gamma 90.00
loop_
_atom_site_label
_atom_site_type_symbol
_atom_site_fract_x
_atom_site_fract_y
_atom_site_fract_z
Ni1 Ni 0.000 0.000 0.000
Ru1 Ru 0.500 0.500 0.500
F1 F 0.000 0.500 0.500
```

## B
Material: NiRuF3
Method: DFT, PBE+U
State: relaxed

Cell and atoms, written as CIF:
```
data_NiRuF3
_chemical_formula_sum 'Ni1 Ru1 F3'
_space_group_name_H-M_alt 'P m -3 m'
_space_group_IT_number 221
_space_group_name_Hall '-P 4 2 3'
_cell_length_a 4.025
_cell_length_b 4.025
_cell_length_c 4.025
_cell_angle_alpha 90.00
_cell_angle_beta 90.00
_cell_angle_gamma 90.00
loop_
_atom_site_label
_atom_site_type_symbol
_atom_site_fract_x
_atom_site_fract_y
_atom_site_fract_z
Ni1 Ni 0.000 0.000 0.000
Ru1 Ru 0.500 0.500 0.500
F1 F 0.000 0.000 0.500
```

Stability ranking, top entry: B; the second entry is 576 meV per atom less favorable.

## A
Material: NiRu3F
Method: DFT, PBE+U
State: relaxed

Cell and atoms, written as CIF:
```
data_NiRu3F
_chemical_formula_sum 'Ni1 Ru3 F1'
_space_group_name_H-M_alt 'P m -3 m'
_space_group_IT_number 221
_space_group_name_Hall '-P 4 2 3'
_cell_length_a 4.524
_cell_length_b 4.524
_cell_length_c 4.524
_cell_angle_alpha 90.00
_cell_angle_beta 90.00
_cell_angle_gamma 90.00
loop_
_atom_site_label
_atom_site_type_symbol
_atom_site_fract_x
_atom_site_fract_y
_atom_site_fract_z
Ni1 Ni 0.000 0.000 0.000
Ru1 Ru 0.000 0.000 0.500
F1 F 0.500 0.500 0.500
```

## B
Material: NiRu3F
Method: DFT, PBE+U
State: relaxed

Cell and atoms, written as CIF:
```
data_NiRu3F
_chemical_formula_sum 'Ni1 Ru3 F1'
_space_group_name_H-M_alt 'P m -3 m'
_space_group_IT_number 221
_space_group_name_Hall '-P 4 2 3'
_cell_length_a 4.117
_cell_length_b 4.117
_cell_length_c 4.117
_cell_angle_alpha 90.00
_cell_angle_beta 90.00
_cell_angle_gamma 90.00
loop_
_atom_site_label
_atom_site_type_symbol
_atom_site_fract_x
_atom_site_fract_y
_atom_site_fract_z
Ni1 Ni 0.000 0.000 0.000
Ru1 Ru 0.000 0.500 0.500
F1 F 0.500 0.500 0.500
```

Stability ranking, top entry: B; the second entry is 366 meV per atom less favorable.

## A
Material: NiS3F
Method: DFT, PBE+U
State: relaxed

Cell and atoms, written as CIF:
```
data_NiS3F
_chemical_formula_sum 'Ni1 S3 F1'
_space_group_name_H-M_alt 'P m -3 m'
_space_group_IT_number 221
_space_group_name_Hall '-P 4 2 3'
_cell_length_a 4.330
_cell_length_b 4.330
_cell_length_c 4.330
_cell_angle_alpha 90.00
_cell_angle_beta 90.00
_cell_angle_gamma 90.00
loop_
_atom_site_label
_atom_site_type_symbol
_atom_site_fract_x
_atom_site_fract_y
_atom_site_fract_z
Ni1 Ni 0.000 0.000 0.000
S1 S 0.000 0.000 0.500
F1 F 0.500 0.500 0.500
```

## B
Material: NiS3F
Method: DFT, PBE+U
State: relaxed

Cell and atoms, written as CIF:
```
data_NiS3F
_chemical_formula_sum 'Ni1 S3 F1'
_space_group_name_H-M_alt 'P m -3 m'
_space_group_IT_number 221
_space_group_name_Hall '-P 4 2 3'
_cell_length_a 4.391
_cell_length_b 4.391
_cell_length_c 4.391
_cell_angle_alpha 90.00
_cell_angle_beta 90.00
_cell_angle_gamma 90.00
loop_
_atom_site_label
_atom_site_type_symbol
_atom_site_fract_x
_atom_site_fract_y
_atom_site_fract_z
Ni1 Ni 0.000 0.000 0.000
S1 S 0.000 0.500 0.500
F1 F 0.500 0.500 0.500
```

Stability ranking, top entry: A; the second entry is 497 meV per atom less favorable.

## A
Material: Ni3SbF
Method: DFT, PBE+U
State: relaxed

Cell and atoms, written as CIF:
```
data_Ni3SbF
_chemical_formula_sum 'Ni3 Sb1 F1'
_space_group_name_H-M_alt 'P m -3 m'
_space_group_IT_number 221
_space_group_name_Hall '-P 4 2 3'
_cell_length_a 4.867
_cell_length_b 4.867
_cell_length_c 4.867
_cell_angle_alpha 90.00
_cell_angle_beta 90.00
_cell_angle_gamma 90.00
loop_
_atom_site_label
_atom_site_type_symbol
_atom_site_fract_x
_atom_site_fract_y
_atom_site_fract_z
Ni1 Ni 0.000 0.000 0.500
Sb1 Sb 0.000 0.000 0.000
F1 F 0.500 0.500 0.500
```

## B
Material: Ni3SbF
Method: DFT, PBE+U
State: relaxed

Cell and atoms, written as CIF:
```
data_Ni3SbF
_chemical_formula_sum 'Ni3 Sb1 F1'
_space_group_name_H-M_alt 'P m -3 m'
_space_group_IT_number 221
_space_group_name_Hall '-P 4 2 3'
_cell_length_a 4.206
_cell_length_b 4.206
_cell_length_c 4.206
_cell_angle_alpha 90.00
_cell_angle_beta 90.00
_cell_angle_gamma 90.00
loop_
_atom_site_label
_atom_site_type_symbol
_atom_site_fract_x
_atom_site_fract_y
_atom_site_fract_z
Ni1 Ni 0.000 0.000 0.500
Sb1 Sb 0.500 0.500 0.500
F1 F 0.000 0.000 0.000
```

Stability ranking, top entry: B; the second entry is 564 meV per atom less favorable.

## A
Material: NiSbF2
Method: DFT, PBE+U
State: relaxed

Cell and atoms, written as CIF:
```
data_NiSbF2
_chemical_formula_sum 'Ni3 Sb3 F6'
_space_group_name_H-M_alt 'R -3 m'
_space_group_IT_number 166
_space_group_name_Hall '-R 3 2"'
_cell_length_a 3.1142
_cell_length_b 3.1142
_cell_length_c 23.1964
_cell_angle_alpha 90.00
_cell_angle_beta 90.00
_cell_angle_gamma 120.00
loop_
_atom_site_label
_atom_site_type_symbol
_atom_site_fract_x
_atom_site_fract_y
_atom_site_fract_z
Ni1 Ni 0.0000 0.0000 0.0000
Sb1 Sb 0.0000 0.0000 0.5000
F1 F 0.0000 0.0000 0.0830
```

## B
Material: NiSbF2
Method: DFT, PBE+U
State: relaxed

Cell and atoms, written as CIF:
```
data_NiSbF2
_chemical_formula_sum 'Ni4 Sb4 F8'
_space_group_name_H-M_alt 'F m -3 m'
_space_group_IT_number 225
_space_group_name_Hall '-F 4 2 3'
_cell_length_a 6.173
_cell_length_b 6.173
_cell_length_c 6.173
_cell_angle_alpha 90.00
_cell_angle_beta 90.00
_cell_angle_gamma 90.00
loop_
_atom_site_label
_atom_site_type_symbol
_atom_site_fract_x
_atom_site_fract_y
_atom_site_fract_z
Ni1 Ni 0.000 0.000 0.000
Sb1 Sb 0.000 0.000 0.500
F1 F 0.250 0.250 0.250
```

## C
Material: NiSbF2
Method: DFT, PBE+U
State: relaxed

Cell and atoms, written as CIF:
```
data_NiSbF2
_chemical_formula_sum 'Ni3 Sb3 F6'
_space_group_name_H-M_alt 'R -3 m'
_space_group_IT_number 166
_space_group_name_Hall '-R 3 2"'
_cell_length_a 3.1182
_cell_length_b 3.1182
_cell_length_c 27.4140
_cell_angle_alpha 90.00
_cell_angle_beta 90.00
_cell_angle_gamma 120.00
loop_
_atom_site_label
_atom_site_type_symbol
_atom_site_fract_x
_atom_site_fract_y
_atom_site_fract_z
Ni1 Ni 0.0000 0.0000 0.0000
Sb1 Sb 0.0000 0.0000 0.5000
F1 F 0.0000 0.0000 0.3688
```

Stability ranking, top entry: C; the second entry is 512 meV per atom less favorable.

## A
Material: Ni2SbF
Method: DFT, PBE+U
State: relaxed

Cell and atoms, written as CIF:
```
data_Ni2SbF
_chemical_formula_sum 'Ni8 Sb4 F4'
_space_group_name_H-M_alt 'F m -3 m'
_space_group_IT_number 225
_space_group_name_Hall '-F 4 2 3'
_cell_length_a 5.961
_cell_length_b 5.961
_cell_length_c 5.961
_cell_angle_alpha 90.00
_cell_angle_beta 90.00
_cell_angle_gamma 90.00
loop_
_atom_site_label
_atom_site_type_symbol
_atom_site_fract_x
_atom_site_fract_y
_atom_site_fract_z
Ni1 Ni 0.250 0.250 0.250
Sb1 Sb 0.000 0.000 0.000
F1 F 0.000 0.000 0.500
```

## B
Material: Ni2SbF
Method: DFT, PBE+U
State: relaxed

Cell and atoms, written as CIF:
```
data_Ni2SbF
_chemical_formula_sum 'Ni8 Sb4 F4'
_space_group_name_H-M_alt 'I -4 2 d'
_space_group_IT_number 122
_space_group_name_Hall 'I -4 2bw'
_cell_length_a 6.263
_cell_length_b 6.263
_cell_length_c 6.689
_cell_angle_alpha 90.00
_cell_angle_beta 90.00
_cell_angle_gamma 90.00
loop_
_atom_site_label
_atom_site_type_symbol
_atom_site_fract_x
_atom_site_fract_y
_atom_site_fract_z
Ni1 Ni 0.187 0.250 0.125
Sb1 Sb 0.000 0.000 0.500
F1 F 0.000 0.000 0.000
```

Stability ranking, top entry: B; the second entry is 478 meV per atom less favorable.